1.
Below is a geometry-optimized CoSi3Ni structure, with properties calculated at the PBE level.

Crystal system: cubic
Energy: -5.36 eV/atom

Unit cell a=4.268 b=4.268 c=4.268 alpha=90.00 beta=90.00 gamma=90.00
Atoms (fractional coordinates):
Ni 0.500 0.500 0.500
Si 0.000 0.500 0.000
Si 0.000 0.000 0.500
Si 0.500 0.000 0.000
Co 0.000 0.000 0.000

***

2.
Below is a geometry-optimized InGeN2F structure, with properties calculated at the PBE level.

Crystal system: tetragonal
Relative energy among the computed polymorphs: 527.6 meV per atom

Unit cell a=4.250 b=4.250 c=4.238 alpha=90.00 beta=90.00 gamma=90.00
Atoms (fractional coordinates):
N 0.000 0.500 0.000
N 0.500 0.000 0.000
Ge 0.500 0.500 0.500
F 0.000 0.000 0.500
In 0.000 0.000 0.000

***

3.
Below is a geometry-optimized Cr2RuPb structure, with properties calculated at the PBE level.

Crystal system: trigonal
ΔH_f (0 K): 0.699 eV per atom

Unit cell a=8.958 b=8.958 c=8.958 alpha=19.45 beta=19.45 gamma=19.45
Atoms (fractional coordinates):
Cr 0.011 0.011 0.011
Cr 0.489 0.489 0.489
Pb 0.250 0.250 0.250
Ru 0.750 0.750 0.750

***

4.
Below is a geometry-optimized TaCu2As structure, with properties calculated at the PBE level.

Crystal system: cubic
ΔH_f (0 K): 0.208 eV per atom

Unit cell a=4.381 b=4.381 c=4.381 alpha=60.00 beta=60.00 gamma=60.00
Atoms (fractional coordinates):
As 0.500 0.500 0.500
Cu 0.000 0.000 0.000
Cu 0.750 0.750 0.750
Ta 0.250 0.250 0.250

***

5.
Below is a geometry-optimized CaSc2Co structure, with properties calculated at the PBE level.

Crystal system: monoclinic
Relative energy among the computed polymorphs: 0.0 meV per atom
ΔH_f (0 K): -0.086 eV per atom

Unit cell a=3.225 b=3.219 c=9.456 alpha=70.23 beta=90.00 gamma=90.00
Atoms (fractional coordinates):
Sc 0.000 0.084 0.917
Sc 0.000 0.416 0.583
Ca 0.500 0.250 0.250
Co 0.500 0.750 0.750

***

6.
Below is a geometry-optimized Ac2NdCdSe5 structure, with properties calculated at the PBE level.

Crystal system: orthorhombic
Energy: -5.13 eV/atom

Unit cell a=4.300 b=9.428 c=13.024 alpha=90.00 beta=90.00 gamma=103.18
Atoms (fractional coordinates):
Ac 0.867 0.734 0.809
Ac 0.117 0.234 0.688
Ac 0.133 0.266 0.309
Ac 0.883 0.766 0.188
Nd 0.800 0.600 0.510
Nd 0.200 0.400 0.010
Cd 0.542 0.084 0.956
Cd 0.458 0.916 0.456
Se 0.360 0.721 0.002
Se 0.686 0.373 0.851
Se 0.494 0.988 0.768
Se 0.290 0.579 0.669
Se 0.955 0.911 0.571
Se 0.640 0.279 0.502
Se 0.314 0.627 0.351
Se 0.506 0.012 0.268
Se 0.710 0.421 0.169
Se 0.045 0.089 0.071

***

7.
Below is a geometry-optimized KMg2TlCo structure, with properties calculated at the PBE level.

Crystal system: tetragonal
ΔH_f (0 K): 0.109 eV per atom

Unit cell a=5.035 b=5.035 c=5.102 alpha=90.00 beta=90.00 gamma=90.00
Atoms (fractional coordinates):
Mg 0.000 0.500 0.000
Mg 0.500 0.000 0.000
Tl 0.000 0.000 0.500
Co 0.000 0.000 0.000
K 0.500 0.500 0.500

***

8.
Below is a geometry-optimized Tb2MgNi2 structure, with properties calculated at the PBE level.

Crystal system: tetragonal
ΔH_f (0 K): -0.375 eV per atom

Unit cell a=3.774 b=7.347 c=7.347 alpha=90.00 beta=90.00 gamma=90.00
Atoms (fractional coordinates):
Ni 0.000 0.121 0.379
Ni 0.000 0.379 0.879
Ni 0.000 0.621 0.121
Ni 0.000 0.879 0.621
Mg 0.000 0.000 0.000
Mg 0.000 0.500 0.500
Tb 0.500 0.173 0.673
Tb 0.500 0.327 0.173
Tb 0.500 0.673 0.827
Tb 0.500 0.827 0.327

***

These records have M_tot values of 0.000, 0.314, 1.354, 0.000, 0.104, 0.000, 0.000, 0.000 μB/atom, in the order they appear.